## i
# BeSe

A relaxed structure of BeSe (PBEsol, the Alexandria database).

Computed properties:
Its symmetry is P6_3mc (186). For the magnetization, the calculation gives 0.00 Bohr magnetons per cell. Its calculated density is 4315 kg/m³.

Cell: 3.619 3.619 5.970 Å, 90.00 90.00 120.00°
Positions (direct):
Be1 0.667 0.333 0.001
Be2 0.333 0.667 0.501
Se1 0.667 0.333 0.628
Se2 0.333 0.667 0.128

=====

## ii
# BeSe

A relaxed structure of BeSe (PBEsol, the Alexandria database).

Computed properties:
Its symmetry is P-3m1 (164). For the magnetization, the calculation gives 0.00 Bohr magnetons per cell. Its calculated density is 3923 kg/m³.

Cell: 3.625 3.625 6.545 Å, 90.00 90.00 120.00°
Positions (direct):
Be1 0.333 0.667 0.118
Be2 0.667 0.333 0.882
Se1 0.333 0.667 0.766
Se2 0.667 0.333 0.234

=====

Q: Which of them is the least stable? A: ii.